Material: CrCu2Pb
Method: DFT, PBE
State: optimized geometry

Lattice parameters (Å, degrees): 4.942 4.942 4.051 65.76 65.76 48.36
Each line ends with the local moment (μB).
Positions (direct):
Pb: 0.500 0.500 0.500  -0.04
Cr: 0.250 0.250 0.250  3.50
Cu: 0.000 0.000 0.000  0.06
Cu: 0.750 0.750 0.750  0.08

Values from the calculation:
- Raw total energy: -4.979 eV per atom
- N(E_F): 1.83 states/eV per cell
- ΔH_f (0 K): 0.40 eV per atom